First-principles (PBE) data for La2MnCr after structural relaxation, as listed in Alexandria via LeMat-Bulk.

Cell lengths 6.112, 6.112, 6.112 Å; angles 137.93, 137.93, 61.01 degrees
Atoms (fractional coordinates):
La  0.000  0.000  0.000
La  0.750  0.250  0.500
Mn  0.250  0.750  0.500
Cr  0.500  0.500  0.000

Values from the calculation:
Energy relative to the elements   11.9 kcal/mol of atoms
Crystal system   tetragonal
Total magnetic moment   0.72 μB per cell
Raw total energy   -6.65 eV/atom
N(E_F)   5.7 states/eV/cell

***

First-principles (PBE) data for La2MnCr2 after structural relaxation, as listed in Alexandria via LeMat-Bulk.

Cell lengths 9.976, 9.976, 9.976 Å; angles 160.90, 160.90, 27.14 degrees
Atoms (fractional coordinates):
La  0.109  0.109  0.000
La  0.891  0.891  0.000
Mn  0.500  0.500  0.000
Cr  0.250  0.750  0.500
Cr  0.750  0.250  0.500

Values from the calculation:
Energy relative to the elements   14.2 kcal/mol of atoms
Crystal system   tetragonal
Total magnetic moment   3.05 μB per cell
Raw total energy   -7.04 eV/atom
N(E_F)   4.4 states/eV/cell

***

First-principles (PBE) data for LaMnCr2 after structural relaxation, as listed in Alexandria via LeMat-Bulk.

Cell lengths 5.985, 5.985, 5.985 Å; angles 38.74, 38.74, 38.74 degrees
Atoms (fractional coordinates):
La  0.000  0.000  0.000
Mn  0.500  0.500  0.500
Cr  0.196  0.196  0.196
Cr  0.804  0.804  0.804

Values from the calculation:
Energy relative to the elements   9.2 kcal/mol of atoms
Crystal system   trigonal
Total magnetic moment   1.60 μB per cell
Raw total energy   -7.94 eV/atom
N(E_F)   4.8 states/eV/cell

***

First-principles (PBE) data for La2MnCr after structural relaxation, as listed in Alexandria via LeMat-Bulk.

Cell lengths 3.199, 3.687, 8.087 Å; angles 90.00, 97.92, 90.00 degrees
Atoms (fractional coordinates):
La  0.000  0.000  0.000
La  0.274  0.500  0.569
Mn  0.464  0.500  0.239
Cr  0.794  0.000  0.325

Values from the calculation:
Energy relative to the elements   9.1 kcal/mol of atoms
Crystal system   monoclinic
Total magnetic moment   0.00 μB per cell
Raw total energy   -6.77 eV/atom
N(E_F)   5.3 states/eV/cell

***

First-principles (PBE) data for LaMnCr2 after structural relaxation, as listed in Alexandria via LeMat-Bulk.

Cell lengths 4.763, 4.763, 3.206 Å; angles 92.70, 92.70, 95.76 degrees
Atoms (fractional coordinates):
La  0.000  0.000  0.000
Mn  0.500  0.500  0.000
Cr  0.000  0.500  0.500
Cr  0.500  0.000  0.500

Values from the calculation:
Energy relative to the elements   16.1 kcal/mol of atoms
Crystal system   monoclinic
Total magnetic moment   2.07 μB per cell
Raw total energy   -7.64 eV/atom
N(E_F)   3.2 states/eV/cell

***

First-principles (PBE) data for LaMnCr2 after structural relaxation, as listed in Alexandria via LeMat-Bulk.

Cell lengths 3.245, 4.746, 4.803 Å; angles 90.00, 90.00, 90.00 degrees
Atoms (fractional coordinates):
La  0.000  0.000  0.000
Mn  0.500  0.500  0.000
Cr  0.000  0.500  0.500
Cr  0.500  0.000  0.500

Values from the calculation:
Energy relative to the elements   14.4 kcal/mol of atoms
Crystal system   orthorhombic
Total magnetic moment   2.49 μB per cell
Raw total energy   -7.71 eV/atom
N(E_F)   3.0 states/eV/cell